# PBE ZrSnNO, relaxed
# Final energy   -30.95 eV/f.u.
# Distance to the lowest polymorph of the same formula   0.093 eV/atom
# Volume   14.37 Å³/atom
data_ZrSnNO
_chemical_formula_sum 'Zr4 Sn4 N4 O4'
_cell_length_a 5.3960
_cell_length_b 7.8544
_cell_length_c 5.4256
_cell_angle_alpha 90.00
_cell_angle_beta 90.00
_cell_angle_gamma 90.00
_symmetry_space_group_name_H-M 'P c a 21'
_symmetry_Int_Tables_number 29
loop_
_symmetry_equiv_pos_as_xyz
'x,y,z'
'-x,-y,z+1/2'
'-x+1/2,y,z+1/2'
'x+1/2,-y,z'
loop_
_atom_site_label
_atom_site_type_symbol
_atom_site_fract_x
_atom_site_fract_y
_atom_site_fract_z
_atom_site_occupancy
Zr1 Zr 0.0472 0.1372 0.0000 1
Sn1 Sn 0.0083 0.3607 0.5248 1
N1 N 0.1135 0.6155 0.4542 1
O1 O 0.2467 0.9652 0.7483 1